Below is a geometry-optimized AlCdSb2 structure, with properties calculated at the PBE level.

abc: 3.416 3.753 7.664
angles: 90.00 90.00 90.00
Element x y z (fractional)
Al1 0.000 0.000 0.000
Cd1 0.000 0.000 0.500
Sb1 0.500 0.500 0.216
Sb2 0.500 0.500 0.784

Values from the calculation:
**Crystal system**: orthorhombic
**Spin magnetization**: 0.00 μB per cell
**V**: 24.56 Å³ per atom
**E above lowest polymorph**: 0.156 eV/atom
**Raw formation energy**: 0.16 eV/atom
**SG**: No. 47